(1)
Hf3AsAu | PBE | optimized geometry

Results
N(E_F) = 2.2 states/eV/cell
Energy above the lowest structure with this stoichiometry = 0.0 meV/atom
Calculated density = 11.47 g cm⁻³
Calculated formation energy = 0.13 eV per atom

abc: 4.8888 4.8888 4.8888
angles: 90.00 90.00 90.00
Closest atoms and distances in Å follow each position.
Positions (direct):
Hf: 0.0000 0.0000 0.5000  2 As 2.44
Hf: 0.0000 0.5000 0.0000  2 As 2.44
Hf: 0.5000 0.0000 0.0000  2 As 2.44
As: 0.0000 0.0000 0.0000  6 Hf 2.44
Au: 0.5000 0.5000 0.5000  12 Hf 3.46

(2)
GdGa3B4O12 | PBE | optimized geometry

Results
N(E_F) = 0.0 states/eV/cell
Raw formation energy = -2.36 eV per atom
Calculated density = 4.99 g cm⁻³

abc: 6.0729 6.0729 6.0729
angles: 103.94 103.94 103.94
Closest atoms and distances in Å follow each position.
Positions (direct):
Gd: 0.0000 0.0000 0.0000  6 O 2.37
Ga: 0.0000 0.5503 0.4497  6 O 1.96-2.03
Ga: 0.4497 0.0000 0.5503  6 O 1.96-2.03
Ga: 0.5503 0.4497 0.0000  6 O 1.96-2.03
B: 0.0531 0.5000 0.9469  3 O 1.38-1.39
B: 0.5000 0.5000 0.5000  3 O 1.39
B: 0.5000 0.9469 0.0531  3 O 1.38-1.39
B: 0.9469 0.0531 0.5000  3 O 1.38-1.39
O: 0.0277 0.6293 0.7895  1 B 1.38
O: 0.0920 0.9080 0.5000  1 B 1.39
O: 0.2105 0.3707 0.9723  1 B 1.38
O: 0.3548 0.6452 0.5000  1 B 1.39
O: 0.3707 0.9723 0.2105  1 B 1.38
O: 0.5000 0.0920 0.9080  1 B 1.39
O: 0.5000 0.3548 0.6452  1 B 1.39
O: 0.6293 0.7895 0.0277  1 B 1.38
O: 0.6452 0.5000 0.3548  1 B 1.39
O: 0.7895 0.0277 0.6293  1 B 1.38
O: 0.9080 0.5000 0.0920  1 B 1.39
O: 0.9723 0.2105 0.3707  1 B 1.38

(3)
BiAs2S | PBE | optimized geometry

Results
N(E_F) = 4.7 states/eV/cell
Energy above the lowest structure with this stoichiometry = 0.0 meV/atom
Raw formation energy = 0.27 eV per atom
Calculated density = 5.64 g cm⁻³

abc: 8.4230 8.4230 8.4230
angles: 141.47 141.47 55.63
Closest atoms and distances in Å follow each position.
Positions (direct):
Bi: 0.0000 0.0000 0.0000  4 As 2.93
Bi: 0.7500 0.2500 0.5000  4 As 2.93
As: 0.1973 0.6250 0.0723  2 S 2.53
As: 0.3750 0.4473 0.5723  2 S 2.53
As: 0.5527 0.1250 0.9277  2 S 2.53
As: 0.8750 0.8027 0.4277  2 S 2.53
S: 0.2500 0.7500 0.5000  4 As 2.53
S: 0.5000 0.5000 0.0000  4 As 2.53

(4)
Tb5PmDy5 | PBE | optimized geometry

Results
N(E_F) = 18.8 states/eV/cell
Energy above the lowest structure with this stoichiometry = 177.0 meV/atom
Calculated density = 7.88 g cm⁻³
Calculated formation energy = 0.32 eV per atom

abc: 6.0863 6.0863 11.5076
angles: 90.00 90.00 120.00
Closest atoms and distances in Å follow each position.
Positions (direct):
Tb: 0.0000 0.0000 0.2356  1 Dy 3.04, 3 Tb 3.24
Tb: 0.0000 0.0000 0.7644  1 Dy 3.04, 3 Tb 3.24
Tb: 0.3365 0.1683 0.0000  6 Tb 3.01-3.24
Tb: 0.8317 0.1683 0.0000  6 Tb 3.01-3.24
Tb: 0.8317 0.6635 0.0000  6 Tb 3.01-3.24
Pm: 0.3333 0.6667 0.5000  5 Dy 3.51-3.74
Dy: 0.0000 0.0000 0.5000  2 Tb 3.04
Dy: 0.3333 0.6667 0.1747  9 Tb 3.58-3.65, 1 Pm 3.74, 3 Dy 4.00
Dy: 0.3333 0.6667 0.8253  9 Tb 3.58-3.65, 1 Pm 3.74, 3 Dy 4.00
Dy: 0.6667 0.3333 0.3414  7 Dy 3.65-4.00, 3 Tb 3.72, 3 Pm 3.96
Dy: 0.6667 0.3333 0.6586  7 Dy 3.65-4.00, 3 Tb 3.72, 3 Pm 3.96

Among the records above, which one has the highest calculated density?
Hf3AsAu

The lowest N(E_F) belongs to which entry?
GdGa3B4O12